# 1
Entry from Alexandria: LuAl2Ni after structural relaxation (PBE-GGA).

a b c (Å): 3.0148 3.0148 7.3077
angles (deg): 90.00 90.00 90.00
With the nearest neighbours (Å) after each atom.
Fractional coordinates of all 4 atoms:
Ni  0.5000  0.5000  0.0000  8 Al 2.54
Lu  0.5000  0.5000  0.5000  4 Lu 3.01, 8 Al 3.11
Al  0.0000  0.0000  0.8098  4 Ni 2.54, 1 Al 2.78
Al  0.0000  0.0000  0.1902  4 Ni 2.54, 1 Al 2.78

Space-group type = P4/mmm (123)
Spin magnetization = 0.00 μB/cell
Total DFT energy (no corrections) = -4.91 eV per atom


# 2
Entry from Alexandria: Lu2AlNi2 after structural relaxation (PBE-GGA).

a b c (Å): 5.2893 5.2893 5.2893
angles (deg): 134.20 119.54 79.03
With the nearest neighbours (Å) after each atom.
Fractional coordinates of all 5 atoms:
Lu  0.2980  0.7980  0.5000  6 Ni 2.82-2.91, 2 Al 3.13
Lu  0.7020  0.2020  0.5000  6 Ni 2.82-2.91, 2 Al 3.13
Al  0.0000  0.0000  0.0000  4 Ni 2.50
Ni  0.2669  0.5000  0.7669  1 Ni 2.48, 2 Al 2.50
Ni  0.7331  0.5000  0.2331  1 Ni 2.48, 2 Al 2.50

Space-group type = Immm (71)
Spin magnetization = 0.00 μB/cell
Total DFT energy (no corrections) = -5.47 eV per atom


# 3
Entry from Alexandria: LuAlNi2 after structural relaxation (PBE-GGA).

a b c (Å): 3.1473 3.1473 6.0953
angles (deg): 90.00 90.00 90.00
With the nearest neighbours (Å) after each atom.
Fractional coordinates of all 4 atoms:
Ni  0.0000  0.0000  0.7887  4 Al 2.57, 1 Ni 2.58, 4 Lu 2.84
Ni  0.0000  0.0000  0.2113  4 Al 2.57, 1 Ni 2.58, 4 Lu 2.84
Lu  0.5000  0.5000  0.5000  8 Ni 2.84, 2 Al 3.05, 4 Lu 3.15
Al  0.5000  0.5000  0.0000  8 Ni 2.57

Space-group type = P4/mmm (123)
Spin magnetization = 0.00 μB/cell
Total DFT energy (no corrections) = -5.45 eV per atom


# 4
Entry from Alexandria: Lu2AlNi after structural relaxation (PBE-GGA).

a b c (Å): 4.8585 4.8585 4.8585
angles (deg): 60.00 60.00 60.00
With the nearest neighbours (Å) after each atom.
Fractional coordinates of all 4 atoms:
Ni  0.5000  0.5000  0.5000  8 Lu 2.98
Lu  0.2500  0.2500  0.2500  4 Al 2.98, 4 Ni 2.98
Lu  0.7500  0.7500  0.7500  4 Al 2.98, 4 Ni 2.98
Al  0.0000  0.0000  0.0000  8 Lu 2.98

Space-group type = Fm-3m (225)
Spin magnetization = 0.00 μB/cell
Total DFT energy (no corrections) = -5.01 eV per atom
Energy above the most stable polymorph in this dataset = 7.3 kJ per mole of atoms


# 5
Entry from Alexandria: LuAl3Ni2 after structural relaxation (PBE-GGA).

a b c (Å): 3.9729 5.2137 5.2137
angles (deg): 60.00 90.00 90.00
With the nearest neighbours (Å) after each atom.
Fractional coordinates of all 6 atoms:
Ni  0.0000  0.6667  0.6667  6 Al 2.49
Ni  0.0000  0.3333  0.3333  6 Al 2.49
Lu  0.0000  0.0000  0.0000  6 Ni 3.01, 12 Al 3.28
Al  0.5000  0.0000  0.5000  4 Ni 2.49, 4 Al 2.61
Al  0.5000  0.5000  0.0000  4 Ni 2.49, 4 Al 2.61
Al  0.5000  0.5000  0.5000  4 Ni 2.49, 4 Al 2.61

Space-group type = P6/mmm (191)
Spin magnetization = 0.00 μB/cell
Total DFT energy (no corrections) = -5.17 eV per atom


# 6
Entry from Alexandria: Lu2AlNi after structural relaxation (PBE-GGA).

a b c (Å): 3.3301 3.3301 7.2544
angles (deg): 90.00 90.00 90.00
With the nearest neighbours (Å) after each atom.
Fractional coordinates of all 4 atoms:
Ni  0.5000  0.5000  0.0000  8 Lu 2.86
Lu  0.0000  0.0000  0.7772  4 Ni 2.86, 4 Al 3.10
Lu  0.0000  0.0000  0.2228  4 Ni 2.86, 4 Al 3.10
Al  0.5000  0.5000  0.5000  8 Lu 3.10, 4 Al 3.33

Space-group type = P4/mmm (123)
Spin magnetization = 0.00 μB/cell
Total DFT energy (no corrections) = -5.09 eV per atom
Energy above the most stable polymorph in this dataset = 0.0 kJ per mole of atoms


# 7
Entry from Alexandria: LuAlNi2 after structural relaxation (PBE-GGA).

a b c (Å): 3.1942 4.3463 4.3463
angles (deg): 90.00 90.00 90.00
With the nearest neighbours (Å) after each atom.
Fractional coordinates of all 4 atoms:
Ni  0.0000  0.0000  0.5000  4 Al 2.70, 4 Lu 2.70
Ni  0.0000  0.5000  0.0000  4 Al 2.70, 4 Lu 2.70
Lu  0.5000  0.5000  0.5000  8 Ni 2.70
Al  0.5000  0.0000  0.0000  8 Ni 2.70

Space-group type = P4/mmm (123)
Spin magnetization = 0.00 μB/cell
Total DFT energy (no corrections) = -5.41 eV per atom


# 8
Entry from Alexandria: LuAl3Ni2 after structural relaxation (PBE-GGA).

a b c (Å): 8.9436 8.9436 4.0498
angles (deg): 90.00 90.00 120.00
With the nearest neighbours (Å) after each atom.
Fractional coordinates of all 18 atoms:
Lu  0.0000  0.0000  0.0000  6 Ni 2.82
Lu  0.6667  0.3333  0.5000  6 Ni 3.10, 12 Al 3.15-3.28
Lu  0.3333  0.6667  0.5000  6 Ni 3.10, 12 Al 3.15-3.28
Al  0.5000  0.5000  0.0000  4 Ni 2.47, 4 Al 2.72
Al  0.5000  0.0000  0.0000  4 Ni 2.47, 4 Al 2.72
Al  0.0000  0.5000  0.0000  4 Ni 2.47, 4 Al 2.72
Al  0.7027  0.7027  0.5000  4 Ni 2.48, 4 Al 2.66-2.72
Al  0.2973  0.0000  0.5000  4 Ni 2.48, 4 Al 2.66-2.72
Al  0.0000  0.2973  0.5000  4 Ni 2.48, 4 Al 2.66-2.72
Al  0.2973  0.2973  0.5000  4 Ni 2.48, 4 Al 2.66-2.72
Al  0.7027  0.0000  0.5000  4 Ni 2.48, 4 Al 2.66-2.72
Al  0.0000  0.7027  0.5000  4 Ni 2.48, 4 Al 2.66-2.72
Ni  0.8182  0.1818  0.0000  6 Al 2.47-2.48
Ni  0.8182  0.6365  0.0000  6 Al 2.47-2.48
Ni  0.3635  0.1818  0.0000  6 Al 2.47-2.48
Ni  0.1818  0.8182  0.0000  6 Al 2.47-2.48
Ni  0.6365  0.8182  0.0000  6 Al 2.47-2.48
Ni  0.1818  0.3635  0.0000  6 Al 2.47-2.48

Space-group type = P6/mmm (191)
Spin magnetization = 0.00 μB/cell
Total DFT energy (no corrections) = -5.21 eV per atom


# 9
Entry from Alexandria: Lu2AlNi after structural relaxation (PBE-GGA).

a b c (Å): 3.2479 3.2479 9.8326
angles (deg): 80.49 80.49 60.00
With the nearest neighbours (Å) after each atom.
Fractional coordinates of all 4 atoms:
Ni  0.0000  0.0000  0.0000  2 Lu 2.47
Lu  0.0854  0.0854  0.7437  1 Ni 2.47
Lu  0.9146  0.9146  0.2563  1 Ni 2.47
Al  0.5000  0.5000  0.5000  6 Lu 3.01, 6 Al 3.25

Space-group type = R-3m (166)
Spin magnetization = 0.00 μB/cell
Total DFT energy (no corrections) = -4.40 eV per atom
Energy above the most stable polymorph in this dataset = 66.6 kJ per mole of atoms


# 10
Entry from Alexandria: LuAl2Ni after structural relaxation (PBE-GGA).

a b c (Å): 4.0492 5.3273 6.8552
angles (deg): 90.00 90.00 112.25
With the nearest neighbours (Å) after each atom.
Fractional coordinates of all 8 atoms:
Ni  0.7140  0.4291  0.7500  6 Al 2.46-2.51, 1 Lu 2.74
Ni  0.2860  0.5709  0.2500  6 Al 2.46-2.51, 1 Lu 2.74
Lu  0.4363  0.8730  0.7500  3 Ni 2.74-2.98, 4 Al 3.03
Lu  0.5637  0.1270  0.2500  3 Ni 2.74-2.98, 4 Al 3.03
Al  0.1522  0.3043  0.9463  3 Ni 2.46-2.51, 1 Al 2.69
Al  0.8478  0.6957  0.0537  3 Ni 2.46-2.51, 1 Al 2.69
Al  0.8478  0.6957  0.4463  3 Ni 2.46-2.51, 1 Al 2.69
Al  0.1522  0.3043  0.5537  3 Ni 2.46-2.51, 1 Al 2.69

Space-group type = P2_1/m (11)
Spin magnetization = 0.00 μB/cell
Total DFT energy (no corrections) = -5.10 eV per atom


# 11
Entry from Alexandria: LuAlNiPd after structural relaxation (PBE-GGA).

a b c (Å): 4.5212 4.5212 4.5212
angles (deg): 60.00 60.00 60.00
With the nearest neighbours (Å) after each atom.
Fractional coordinates of all 4 atoms:
Ni  0.2500  0.2500  0.2500  4 Lu 2.77, 4 Al 2.77
Lu  0.0000  0.0000  0.0000  4 Ni 2.77, 4 Pd 2.77
Al  0.5000  0.5000  0.5000  4 Ni 2.77, 4 Pd 2.77
Pd  0.7500  0.7500  0.7500  4 Al 2.77, 4 Lu 2.77

Space-group type = F-43m (216)
Spin magnetization = 0.00 μB/cell
Total DFT energy (no corrections) = -5.52 eV per atom


# 12
Entry from Alexandria: PmLuAlNi after structural relaxation (PBE-GGA).

a b c (Å): 4.9857 4.9857 4.9857
angles (deg): 60.00 60.00 60.00
With the nearest neighbours (Å) after each atom.
Fractional coordinates of all 4 atoms:
Ni  0.2500  0.2500  0.2500  4 Pm 3.05, 4 Lu 3.05
Lu  0.5000  0.5000  0.5000  4 Ni 3.05, 4 Al 3.05
Al  0.7500  0.7500  0.7500  4 Pm 3.05, 4 Lu 3.05
Pm  0.0000  0.0000  0.0000  4 Al 3.05, 4 Ni 3.05

Space-group type = F-43m (216)
Spin magnetization = 0.00 μB/cell
Total DFT energy (no corrections) = -4.99 eV per atom


Question: Number 4 is which compound?
Answer: Lu2AlNi


Question: Which value of total DFT energy (no corrections) does entry 3 give?
Answer: -5.45 eV per atom


Question: Which formula does entry 7 have?
Answer: LuAlNi2


Question: What is the formula in the sixth record?
Answer: Lu2AlNi